Record 1
Material: Li3SnSb
Method: DFT, GGA-PBE
State: relaxed

```
Li3SnSb
1.0
4.589 0.000 0.000
0.000 5.799 2.963
0.000 -0.987 7.549
Li Sn Sb
6 2 2
Cartesian
3.442 4.466 6.473
3.442 1.379 6.237
1.147 0.347 4.040
1.147 1.947 1.570
3.442 2.865 8.943
1.147 3.433 4.275
1.147 -0.663 6.631
3.442 5.475 3.881
1.147 3.092 7.267
3.442 1.720 3.246
```

Summary:
- offset from the most stable computed form (eV per atom) = 0.000
- symmetry = P2_1/m, No. 11

=====

Record 2
Material: Li6Sn5Sb
Method: DFT, GGA-PBE
State: relaxed

```
Li6Sn5Sb
1.0
4.976 -0.401 1.017
-0.018 6.068 2.495
1.474 0.005 8.666
Li Sn Sb
6 5 1
Cartesian
1.305 5.534 8.213
2.478 4.374 2.395
5.127 0.138 3.965
5.118 3.217 5.228
1.314 2.455 6.949
3.954 1.297 9.783
2.538 4.854 5.481
2.533 1.844 4.161
3.900 3.828 8.017
3.895 0.817 6.697
-0.009 3.034 1.248
0.000 0.000 0.000
```

Summary:
- symmetry = P-1, No. 2
- DFT total energy (eV per atom) = -3.31

=====

Record 3
Material: LiSnSb
Method: DFT, GGA-PBE
State: relaxed

```
LiSnSb
1.0
6.626 0.000 0.000
0.000 6.834 0.000
0.000 0.000 6.762
Sb Li Sn
4 4 4
Cartesian
1.656 1.715 4.948
4.969 5.119 4.948
1.656 5.132 1.567
4.969 1.702 1.567
0.000 3.417 6.741
3.313 0.000 3.360
0.000 0.000 3.360
3.313 3.417 6.741
1.656 4.719 4.604
4.969 2.115 4.604
4.969 5.532 1.223
1.656 1.302 1.223
```

Summary:
- offset from the most stable computed form (eV per atom) = 0.032
- symmetry = Ama2, No. 40

=====

Record 4
Material: LiSn3Sb
Method: DFT, GGA-PBE
State: relaxed

```
LiSn3Sb
1.0
-4.242 2.536 -1.201
-2.580 -4.381 -0.139
-1.104 0.494 4.941
Sn Li Sb
3 1 1
Cartesian
-0.552 0.247 2.470
-1.290 -2.191 -0.069
-2.121 1.268 -0.601
0.000 0.000 0.000
-3.963 -0.676 1.801
```

Summary:
- offset from the most stable computed form (eV per atom) = 0.000
- symmetry = Pm-3m, No. 221